Entry 1:
KBa2NaS | PBE | relaxed

Calculated values
Uncorrected formation energy = -632 meV/atom
Offset from the most stable computed form = 0.0722 eV/atom
Space group = P4/mmm

CIF file:
```
data_KBa2NaS
_symmetry_space_group_name_H-M 'P 1'
_symmetry_Int_Tables_number 1
_cell_length_a 6.261
_cell_length_b 6.261
_cell_length_c 6.250
_cell_angle_alpha 90.00
_cell_angle_beta 90.00
_cell_angle_gamma 90.00
loop_
_symmetry_equiv_pos_as_xyz
'x,y,z'
loop_
_atom_site_label
_atom_site_fract_x
_atom_site_fract_y
_atom_site_fract_z
_atom_site_occupancy
S1 0.000 0.000 0.000 1
Na1 0.000 0.000 0.500 1
K1 0.500 0.500 0.500 1
Ba1 0.000 0.500 0.000 1
Ba2 0.500 0.000 0.000 1
```

---

Entry 2:
PuMnZnFe | PBE | relaxed

Calculated values
Formation enthalpy at 0 K = 0.031 eV/atom
Space group = F-43m

CIF file:
```
data_PuMnZnFe
_symmetry_space_group_name_H-M 'P 1'
_symmetry_Int_Tables_number 1
_cell_length_a 4.385
_cell_length_b 4.385
_cell_length_c 4.385
_cell_angle_alpha 60.00
_cell_angle_beta 60.00
_cell_angle_gamma 60.00
loop_
_symmetry_equiv_pos_as_xyz
'x,y,z'
loop_
_atom_site_label
_atom_site_fract_x
_atom_site_fract_y
_atom_site_fract_z
_atom_site_occupancy
Zn1 0.750 0.750 0.750 1
Mn1 0.500 0.500 0.500 1
Fe1 0.000 0.000 0.000 1
Pu1 0.250 0.250 0.250 1
```

---

Entry 3:
Fe2OsSe | PBE | relaxed

Calculated values
Uncorrected formation energy = 485 meV/atom
Space group = F-43m

CIF file:
```
data_Fe2OsSe
_symmetry_space_group_name_H-M 'P 1'
_symmetry_Int_Tables_number 1
_cell_length_a 4.237
_cell_length_b 4.237
_cell_length_c 4.237
_cell_angle_alpha 60.00
_cell_angle_beta 60.00
_cell_angle_gamma 60.00
loop_
_symmetry_equiv_pos_as_xyz
'x,y,z'
loop_
_atom_site_label
_atom_site_fract_x
_atom_site_fract_y
_atom_site_fract_z
_atom_site_occupancy
Fe1 0.000 0.000 0.000 1
Fe2 0.250 0.250 0.250 1
Os1 0.500 0.500 0.500 1
Se1 0.750 0.750 0.750 1
```

---

Entry 4:
K2LaCr | PBE | relaxed

Calculated values
Offset from the most stable computed form = 0.3115 eV/atom
Formation enthalpy at 0 K = 0.854 eV/atom
Space group = P4/mmm

CIF file:
```
data_K2LaCr
_symmetry_space_group_name_H-M 'P 1'
_symmetry_Int_Tables_number 1
_cell_length_a 3.560
_cell_length_b 3.560
_cell_length_c 12.929
_cell_angle_alpha 90.00
_cell_angle_beta 90.00
_cell_angle_gamma 90.00
loop_
_symmetry_equiv_pos_as_xyz
'x,y,z'
loop_
_atom_site_label
_atom_site_fract_x
_atom_site_fract_y
_atom_site_fract_z
_atom_site_occupancy
Cr1 0.500 0.500 0.750 1
K1 0.000 0.000 0.965 1
K2 0.000 0.000 0.535 1
La1 0.500 0.500 0.250 1
```

---

Entry 5:
NbInB | PBE | relaxed

Calculated values
Formation enthalpy at 0 K = -0.227 eV/atom
Space group = Cmcm

CIF file:
```
data_NbInB
_symmetry_space_group_name_H-M 'P 1'
_symmetry_Int_Tables_number 1
_cell_length_a 3.241
_cell_length_b 3.036
_cell_length_c 10.505
_cell_angle_alpha 90.00
_cell_angle_beta 98.88
_cell_angle_gamma 90.00
loop_
_symmetry_equiv_pos_as_xyz
'x,y,z'
loop_
_atom_site_label
_atom_site_fract_x
_atom_site_fract_y
_atom_site_fract_z
_atom_site_occupancy
B1 0.480 0.750 0.960 1
B2 0.520 0.250 0.040 1
In1 0.809 0.750 0.619 1
In2 0.191 0.250 0.381 1
Nb1 0.936 0.250 0.872 1
Nb2 0.064 0.750 0.128 1
```

---

Entry 6:
CePuGe2 | PBE | relaxed

Calculated values
Formation enthalpy at 0 K = -0.527 eV/atom
Space group = P4/mmm

CIF file:
```
data_CePuGe2
_symmetry_space_group_name_H-M 'P 1'
_symmetry_Int_Tables_number 1
_cell_length_a 4.186
_cell_length_b 4.638
_cell_length_c 4.638
_cell_angle_alpha 90.00
_cell_angle_beta 90.00
_cell_angle_gamma 90.00
loop_
_symmetry_equiv_pos_as_xyz
'x,y,z'
loop_
_atom_site_label
_atom_site_fract_x
_atom_site_fract_y
_atom_site_fract_z
_atom_site_occupancy
Ge1 0.000 0.000 0.500 1
Ge2 0.000 0.500 0.000 1
Ce1 0.500 0.000 0.000 1
Pu1 0.500 0.500 0.500 1
```

---

no.,total magnetization (μB per cell),calculated volume (A^3/atom)
1,0.0,49.0
2,1.5,14.9
3,4.5,13.4
4,5.0,41.0
5,0.0,17.0
6,6.3,22.5